Below is a relaxed structure of YNi3Sb, with properties calculated at the GGA-PBE level.

- uncorrected energy (eV per cell) = -27.16
- ρ (g/cm³) = 6.42
- magnetic moment (μB/atom) = 0.0000

Lattice parameters (Å, degrees): 4.6429 4.6429 4.6429 90.00 90.00 90.00
Closest atoms and distances in Å follow each position.
Fractional positions:
1 Ni 0.0000 0.0000 0.5000  2 Sb 2.32
2 Ni 0.0000 0.5000 0.0000  2 Sb 2.32
3 Ni 0.5000 0.0000 0.0000  2 Sb 2.32
4 Sb 0.0000 0.0000 0.0000  6 Ni 2.32
5 Y 0.5000 0.5000 0.5000  12 Ni 3.28

***

Below is a relaxed structure of Th8Tc2Os, with properties calculated at the GGA-PBE level.

- uncorrected energy (eV per cell) = -91.81
- ρ (g/cm³) = 11.85
- calculated formation energy (eV/atom) = -0.04
- magnetic moment (μB/atom) = 0.0000

Lattice parameters (Å, degrees): 6.3274 7.8002 7.8002 117.29 101.89 101.89
Closest atoms and distances in Å follow each position.
Fractional positions:
1 Tc 0.4763 0.7051 0.3204  3 Th 2.66-2.87
2 Tc 0.4763 0.3204 0.7051  3 Th 2.66-2.87
3 Th 0.9811 0.1921 0.7859  1 Os 3.02, 1 Th 3.33, 1 Tc 3.36
4 Th 0.3644 0.9037 0.6508  1 Tc 2.66
5 Th 0.5944 0.3662 0.1023  2 Tc 2.77-2.87, 1 Os 3.01
6 Th 0.8043 0.6495 0.6495  1 Os 3.00, 2 Tc 3.21
7 Th 0.5944 0.1023 0.3662  2 Tc 2.77-2.87, 1 Os 3.01
8 Th 0.3644 0.6508 0.9037  1 Tc 2.66
9 Th 0.1624 0.3484 0.3484  1 Os 2.86, 2 Tc 3.19
10 Th 0.9811 0.7859 0.1921  1 Os 3.02, 1 Th 3.33, 1 Tc 3.36
11 Os 0.2005 0.0095 0.0095  8 Th 2.86-3.02

***

Below is a relaxed structure of Ce2Co12NiP3, with properties calculated at the GGA-PBE level.

- uncorrected energy (eV per cell) = -119.20
- ρ (g/cm³) = 8.26
- calculated formation energy (eV/atom) = 0.00
- magnetic moment (μB/atom) = 0.3841

Lattice parameters (Å, degrees): 6.1770 6.1770 6.1770 81.66 81.66 81.66
Closest atoms and distances in Å follow each position.
Fractional positions:
1 Ni 0.0000 0.0000 0.0000  6 Co 2.40
2 Ce 0.3711 0.3711 0.3711  3 Co 2.29
3 Ce 0.6289 0.6289 0.6289  3 Co 2.29
4 Co 0.6311 0.6311 0.0951  2 P 2.33, 1 Co 2.45
5 Co 0.1848 0.1848 0.6710  1 P 2.19, 1 Ce 2.29, 1 Ni 2.40, 3 Co 2.42-2.45
6 Co 0.6311 0.0951 0.6311  2 P 2.33, 1 Co 2.45
7 Co 0.3689 0.9049 0.3689  2 P 2.33, 1 Co 2.45
8 Co 0.8152 0.3290 0.8152  1 P 2.19, 1 Ce 2.29, 1 Ni 2.40, 3 Co 2.42-2.45
9 Co 0.8152 0.8152 0.3290  1 P 2.19, 1 Ce 2.29, 1 Ni 2.40, 3 Co 2.42-2.45
10 Co 0.0951 0.6311 0.6311  2 P 2.33, 1 Co 2.45
11 Co 0.6710 0.1848 0.1848  1 P 2.19, 1 Ce 2.29, 1 Ni 2.40, 3 Co 2.42-2.45
12 Co 0.9049 0.3689 0.3689  2 P 2.33, 1 Co 2.45
13 Co 0.3689 0.3689 0.9049  2 P 2.33, 1 Co 2.45
14 Co 0.1848 0.6710 0.1848  1 P 2.19, 1 Ce 2.29, 1 Ni 2.40, 3 Co 2.42-2.45
15 Co 0.3290 0.8152 0.8152  1 P 2.19, 1 Ce 2.29, 1 Ni 2.40, 3 Co 2.42-2.45
16 P 0.0000 0.5000 0.0000  6 Co 2.19-2.33
17 P 0.5000 0.0000 0.0000  6 Co 2.19-2.33
18 P 0.0000 0.0000 0.5000  6 Co 2.19-2.33